VASP calculation (PBE-GGA) on crystalline LaSc2Nb at its relaxed geometry.

Cell and atoms, written as POSCAR:
```
LaSc2Nb
1.0
3.186 0.000 0.000
-1.593 2.759 0.000
0.000 0.000 34.021
La Sc Nb
3 6 3
direct
0.000 0.000 0.000 La
0.333 0.667 0.667 La
0.667 0.333 0.333 La
0.000 0.000 0.420 Sc
0.000 0.000 0.580 Sc
0.333 0.667 0.087 Sc
0.333 0.667 0.246 Sc
0.667 0.333 0.754 Sc
0.667 0.333 0.913 Sc
0.000 0.000 0.500 Nb
0.333 0.667 0.167 Nb
0.667 0.333 0.833 Nb
```

Calculated values
Density of states at the Fermi level in states/eV/f.u.: 8.08
Polymorph energy (0 for the lowest one) in eV per atom: 0.315
Electronic total energy in eV per formula unit: -25.7
Energy relative to the elements in eV/atom: 0.486

***

VASP calculation (PBE-GGA) on crystalline Y2Au at its relaxed geometry.

Cell and atoms, written as POSCAR:
```
Y2Au
1.0
0.000 4.309 4.309
4.309 0.000 4.309
4.309 4.309 0.000
Y Au
4 2
direct
0.000 0.000 0.000 Y
0.000 0.000 0.500 Y
0.000 0.500 0.000 Y
0.500 0.000 0.000 Y
0.375 0.375 0.375 Au
0.625 0.625 0.625 Au
```

Calculated values
Density of states at the Fermi level in states/eV/f.u.: 2.51
Electronic total energy in eV per formula unit: -15.3
Energy relative to the elements in eV/atom: 0.303

***

VASP calculation (PBE-GGA) on crystalline Er3AlAg3S8 at its relaxed geometry.

Cell and atoms, written as POSCAR:
```
Er3AlAg3S8
1.0
6.554 -3.901 0.000
6.554 3.901 0.000
-4.283 0.000 6.359
Er Al Ag S
3 1 3 8
direct
0.000 0.000 0.000 Er
0.000 0.500 0.500 Er
0.500 0.000 0.500 Er
0.500 0.500 0.000 Al
0.000 0.500 0.000 Ag
0.500 0.000 0.000 Ag
0.500 0.500 0.500 Ag
0.245 0.245 0.257 S
0.273 0.273 0.772 S
0.273 0.726 0.225 S
0.274 0.727 0.775 S
0.726 0.273 0.225 S
0.727 0.274 0.775 S
0.727 0.727 0.228 S
0.755 0.755 0.743 S
```

Calculated values
Density of states at the Fermi level in states/eV/f.u.: 7.74
ΔE_f (raw) in eV/atom: -1.149
Electronic total energy in eV per formula unit: -76.2

***

VASP calculation (PBE-GGA) on crystalline SmCoAg at its relaxed geometry.

Cell and atoms, written as POSCAR:
```
SmCoAg
1.0
3.835 0.000 0.000
0.000 16.576 0.000
0.000 0.000 3.851
Sm Co Ag
4 4 4
direct
0.000 0.101 0.250 Sm
0.000 0.899 0.750 Sm
0.500 0.399 0.750 Sm
0.500 0.601 0.250 Sm
0.000 0.466 0.250 Co
0.000 0.534 0.750 Co
0.500 0.034 0.750 Co
0.500 0.966 0.250 Co
0.000 0.293 0.250 Ag
0.000 0.707 0.750 Ag
0.500 0.207 0.750 Ag
0.500 0.793 0.250 Ag
```

Calculated values
Density of states at the Fermi level in states/eV/f.u.: 2.18
Electronic total energy in eV per formula unit: -15.2
Energy relative to the elements in eV/atom: -0.179